1.
## KYTl4 (PBE-GGA)

Data for a relaxed structure of KYTl4.

```
KYTl4
1.0
-0.0013 -4.5109 4.5557
-5.5470 -2.0734 2.4565
-2.0899 -5.9105 -1.3419
Tl K Y
4 1 1
direct
0.3755 0.3755 0.8735
0.3755 0.8735 0.3755
0.8735 0.3755 0.3755
0.3755 0.3755 0.3755
0.0000 0.0000 0.0000
0.7500 0.7500 0.7500
```

Results
Crystal system: cubic
E, eV per atom: -2.808
SG: F-43m

---

2.
## KY2Tl (PBE-GGA)

Data for a relaxed structure of KY2Tl.

```
KY2Tl
1.0
0.0000 3.9446 3.9446
3.9446 0.0000 3.9446
3.9446 3.9446 0.0000
Y Tl K
2 1 1
direct
0.2500 0.2500 0.2500
0.7500 0.7500 0.7500
0.5000 0.5000 0.5000
0.0000 0.0000 0.0000
```

Results
Crystal system: cubic
SG: Fm-3m
Distance to the lowest polymorph of the same formula, eV per atom: 0.189